This record from Alexandria via LeMat-Bulk describes a relaxed structure of Cr2PbW. The functional is GGA-PBE.

Cell: 3.0759 3.0759 25.9849 Å, 90.00 90.00 120.00°
Space group R-3m (No. 166, hexagonal axes)
Symmetry-distinct sites (fractional):
1 Cr 0.0000 0.0000 0.2381 x6
2 Pb 0.0000 0.0000 0.0000 x3
3 W 0.0000 0.0000 0.5000 x3

The density of states at the Fermi level comes out at 1.87 states/eV/f.u. For the volume, the calculation gives 213 Å³ per cell. The value obtained for the formation enthalpy at 0 K is 0.6799 eV per atom. As for the magnetic moment: 4.0 μB/f.u.